1.
A relaxed structure of ScGaI2Cl, computed with GGA-PBE.

Cell lengths 5.498, 5.493, 5.498 Å; angles 90.00, 90.00, 90.00 degrees
Fractional coordinates of all 5 atoms:
Ga1 0.000 0.000 0.000
Sc1 0.000 0.500 0.000
I1 0.000 0.000 0.500
I2 0.500 0.000 0.000
Cl1 0.500 0.500 0.500

Values from the calculation:
* energy above the lowest structure with this stoichiometry: 774 meV/atom
* space group: P4/mmm (123)

***

2.
A relaxed structure of ScGaI2Cl, computed with GGA-PBE.

Cell lengths 5.886, 5.886, 4.927 Å; angles 90.00, 90.00, 90.00 degrees
Last column: magnetic moment on the atom in μB.
Fractional coordinates of all 5 atoms:
Ga1 0.500 0.500 0.500  0.03
Cl1 0.000 0.000 0.500  -0.01
I1 0.000 0.500 0.000  -0.01
I2 0.500 0.000 0.000  -0.01
Sc1 0.000 0.000 0.000  0.56

Values from the calculation:
* energy above the lowest structure with this stoichiometry: 0 meV/atom
* space group: P4/mmm (123)

***

3.
A relaxed structure of Ga2SnI6Cl2, computed with GGA-PBE.

Cell lengths 7.534, 7.534, 10.303 Å; angles 90.00, 90.00, 120.00 degrees
Fractional coordinates of all 11 atoms:
I1 0.656 0.002 0.814
I2 0.344 0.998 0.186
I3 0.347 0.344 0.814
I4 0.653 0.656 0.186
I5 0.998 0.653 0.814
I6 0.002 0.347 0.186
Sn1 0.000 0.000 0.000
Ga1 0.667 0.333 0.268
Ga2 0.333 0.667 0.732
Cl1 0.333 0.667 0.523
Cl2 0.667 0.333 0.477

Values from the calculation:
* energy: -2.715 eV/atom
* space group: P-3 (147)

***

4.
A relaxed structure of SrGaI2Cl, computed with GGA-PBE.

Cell lengths 5.951, 5.226, 5.951 Å; angles 90.00, 90.00, 90.00 degrees
Fractional coordinates of all 5 atoms:
Ga1 0.000 0.000 0.000
I1 0.500 0.000 0.000
I2 0.000 0.000 0.500
Cl1 0.000 0.500 0.000
Sr1 0.500 0.500 0.500

Values from the calculation:
* energy: -2.859 eV/atom
* space group: P4/mmm (123)

***

5.
A relaxed structure of GaTe2ICl, computed with GGA-PBE.

Cell lengths 5.436, 5.436, 5.499 Å; angles 90.00, 90.00, 90.00 degrees
Fractional coordinates of all 5 atoms:
Cl1 0.500 0.500 0.500
Te1 0.000 0.500 0.000
Te2 0.500 0.000 0.000
I1 0.000 0.000 0.500
Ga1 0.000 0.000 0.000

Values from the calculation:
* energy above the lowest structure with this stoichiometry: 0 meV/atom
* space group: P4/mmm (123)

***

6.
A relaxed structure of GaTe2ICl, computed with GGA-PBE.

Cell lengths 5.247, 5.247, 7.532 Å; angles 90.00, 90.00, 90.00 degrees
Last column: magnetic moment on the atom in μB.
Fractional coordinates of all 5 atoms:
I1 0.000 0.000 0.500  0.09
Ga1 0.500 0.500 0.500  0.00
Te1 0.000 0.500 0.000  0.38
Te2 0.500 0.000 0.000  0.38
Cl1 0.000 0.000 0.000  0.04

Values from the calculation:
* energy above the lowest structure with this stoichiometry: 120 meV/atom
* space group: P4/mmm (123)

***

7.
A relaxed structure of TlGaICl, computed with GGA-PBE.

Cell lengths 5.569, 5.569, 12.149 Å; angles 76.75, 76.75, 60.00 degrees
Fractional coordinates of all 8 atoms:
Tl1 0.382 0.382 0.855
Tl2 0.618 0.618 0.145
Ga1 0.213 0.213 0.360
Ga2 0.787 0.787 0.640
I1 0.884 0.884 0.347
I2 0.116 0.116 0.653
Cl1 0.295 0.295 0.114
Cl2 0.705 0.705 0.886

Values from the calculation:
* energy above the lowest structure with this stoichiometry: 0 meV/atom
* space group: R-3m (166)

***

8.
A relaxed structure of TlGaICl, computed with GGA-PBE.

Cell lengths 5.650, 5.650, 5.650 Å; angles 60.00, 60.00, 60.00 degrees
Fractional coordinates of all 4 atoms:
Tl1 0.750 0.750 0.750
Cl1 0.000 0.000 0.000
I1 0.500 0.500 0.500
Ga1 0.250 0.250 0.250

Values from the calculation:
* energy above the lowest structure with this stoichiometry: 68 meV/atom
* space group: F-43m (216)

***

9.
A relaxed structure of TlGaICl2, computed with GGA-PBE.

Cell lengths 5.119, 5.119, 5.900 Å; angles 90.00, 90.00, 90.00 degrees
Fractional coordinates of all 5 atoms:
Tl1 0.500 0.500 0.500
Ga1 0.000 0.000 0.000
Cl1 0.000 0.500 0.000
Cl2 0.500 0.000 0.000
I1 0.000 0.000 0.500

Values from the calculation:
* energy: -2.878 eV/atom
* space group: P4/mmm (123)

***

10.
A relaxed structure of ZrGa2I4Cl2, computed with GGA-PBE.

Cell lengths 7.095, 8.172, 8.172 Å; angles 60.62, 70.62, 70.62 degrees
Fractional coordinates of all 9 atoms:
I1 0.326 0.158 0.664
I2 0.674 0.842 0.336
I3 0.326 0.664 0.158
I4 0.674 0.336 0.842
Cl1 0.813 0.843 0.843
Cl2 0.187 0.157 0.157
Ga1 0.716 0.243 0.243
Ga2 0.284 0.757 0.757
Zr1 0.500 0.000 0.000

Values from the calculation:
* energy: -3.588 eV/atom
* space group: C2/m (12)

***

11.
A relaxed structure of In2GaCl, computed with GGA-PBE.

Cell lengths 5.203, 5.203, 5.203 Å; angles 60.00, 60.00, 60.00 degrees
Fractional coordinates of all 4 atoms:
Ga1 0.500 0.500 0.500
Cl1 0.000 0.000 0.000
In1 0.750 0.750 0.750
In2 0.250 0.250 0.250

Values from the calculation:
* energy above the lowest structure with this stoichiometry: 131 meV/atom
* space group: Fm-3m (225)

***

12.
A relaxed structure of InGaCl2, computed with GGA-PBE.

Cell lengths 5.310, 5.310, 5.310 Å; angles 60.00, 60.00, 60.00 degrees
Fractional coordinates of all 4 atoms:
In1 0.500 0.500 0.500
Cl1 0.750 0.750 0.750
Cl2 0.250 0.250 0.250
Ga1 0.000 0.000 0.000

Values from the calculation:
* energy above the lowest structure with this stoichiometry: 71 meV/atom
* space group: Fm-3m (225)

***

13.
A relaxed structure of In3GaCl, computed with GGA-PBE.

Cell lengths 5.475, 5.475, 5.475 Å; angles 90.00, 90.00, 90.00 degrees
Fractional coordinates of all 5 atoms:
Cl1 0.500 0.500 0.500
In1 0.000 0.000 0.500
In2 0.500 0.000 0.000
In3 0.000 0.500 0.000
Ga1 0.000 0.000 0.000

Values from the calculation:
* energy above the lowest structure with this stoichiometry: 0 meV/atom
* space group: Pm-3m (221)